[1]
A plane-wave DFT calculation with PBE was carried out for an optimized crystal structure of Ba6Na2IrPd.

abc: 8.8961 8.8961 8.9024
angles: 120.00 120.00 90.00
Last column: nearest neighbours and their distance in Å.
Sites, in units of the cell vectors:
Ba  0.7449  0.7455  0.9995  1 Ir 3.08, 1 Pd 3.21
Ba  0.7452  0.7457  0.4901  1 Ir 3.09, 1 Pd 3.21
Ba  0.2550  0.2553  0.0001  1 Ir 3.08, 1 Pd 3.21
Ba  0.7452  0.2553  0.9998  1 Ir 3.08, 1 Pd 3.21
Ba  0.2546  0.2552  0.5096  1 Ir 3.09, 1 Pd 3.21
Ba  0.2547  0.7455  0.9999  1 Ir 3.08, 1 Pd 3.21
Na  0.7498  0.2503  0.4997  12 Ba 4.45
Na  0.2497  0.7504  0.4997  12 Ba 4.45
Ir  0.5000  0.5004  0.9999  6 Ba 3.08-3.09
Pd  0.9999  0.0004  0.9998  6 Ba 3.21

Calculated values
* space-group type: Fm-3m, No. 225
* calculated formation energy: -192 meV/atom


[2]
A plane-wave DFT calculation with PBE was carried out for an optimized crystal structure of Pm2GaSiPt6.

abc: 5.5763 8.2042 8.6918
angles: 90.00 90.00 90.00
Last column: nearest neighbours and their distance in Å.
Sites, in units of the cell vectors:
Pm  0.5000  0.7291  0.2554  9 Pt 3.08-3.36
Pm  0.0000  0.2709  0.7554  9 Pt 3.08-3.36
Pm  0.5000  0.7291  0.7446  9 Pt 3.08-3.36
Pm  0.0000  0.2709  0.2446  9 Pt 3.08-3.36
Ga  0.0000  0.7290  0.5000  6 Pt 2.49-2.60
Ga  0.5000  0.2710  0.0000  6 Pt 2.49-2.60
Si  0.5000  0.2446  0.5000  6 Pt 2.37-2.47
Si  0.0000  0.7554  0.0000  6 Pt 2.37-2.47
Pt  0.5000  0.1117  0.2513  1 Si 2.42, 1 Ga 2.55
Pt  0.5000  0.1117  0.7487  1 Si 2.42, 1 Ga 2.55
Pt  0.0000  0.8883  0.2487  1 Si 2.42, 1 Ga 2.55
Pt  0.0000  0.8883  0.7513  1 Si 2.42, 1 Ga 2.55
Pt  0.2487  0.9963  0.5000  1 Si 2.47, 1 Ga 2.60, 4 Pt 2.73-2.74
Pt  0.7513  0.9963  0.5000  1 Si 2.47, 1 Ga 2.60, 4 Pt 2.73-2.74
Pt  0.2497  0.4778  0.5000  1 Si 2.37, 1 Ga 2.49
Pt  0.7503  0.4778  0.5000  1 Si 2.37, 1 Ga 2.49
Pt  0.7497  0.5222  0.0000  1 Si 2.37, 1 Ga 2.49
Pt  0.2503  0.5222  0.0000  1 Si 2.37, 1 Ga 2.49
Pt  0.2513  0.0037  0.0000  1 Si 2.47, 1 Ga 2.60, 4 Pt 2.73-2.74
Pt  0.7487  0.0037  0.0000  1 Si 2.47, 1 Ga 2.60, 4 Pt 2.73-2.74

Calculated values
* uncorrected formation energy: -0.954 eV/atom
* space-group type: Pmmn, No. 59


| no. | DOS(E_F) (states/eV/cell) |
| --- | --- |
| 1 | 7.26 |
| 2 | 6.57 |